No. 1
ReAsPtBr2: optimized geometry, PBEsol.

## Properties
- D(E_F) (states/eV/f.u.) = 1.9
- density (g/cm3) = 8.33
- formation energy from raw total energies (eV per atom) = 1.417

a = 4.995 Å, b = 4.995 Å, c = 4.921 Å
α = 90.00°, β = 90.00°, γ = 90.00°
Space group P4/mmm (No. 123)
Symmetry-distinct sites (fractional):
Re (0.000, 0.000, 0.000) [1 per cell]
As (0.500, 0.500, 0.000) [1 per cell]
Pt (0.500, 0.500, 0.500) [1 per cell]
Br (0.000, 0.500, 0.500) [2 per cell]

No. 2
OsOF5: optimized geometry, PBEsol.

## Properties
- density (g/cm3) = 4.84
- formation energy from raw total energies (eV per atom) = -1.562

a = 9.443 Å, b = 8.691 Å, c = 5.038 Å
α = 90.00°, β = 90.00°, γ = 90.00°
Space group Pnma (No. 62)
Symmetry-distinct sites (fractional):
Os (0.116, 0.250, 0.060) [4 per cell]
O (0.010, 0.250, 0.792) [4 per cell]
F (0.014, 0.098, 0.241) [8 per cell]
F (0.232, 0.250, 0.367) [4 per cell]
F (0.240, 0.099, 0.935) [8 per cell]